Co2CuSb | GGA-PBE | optimized geometry

POSCAR file:
```
Co2CuSb
1.0
-3.007 0.560 -6.923
-0.235 -0.516 -7.547
-2.457 -2.423 -6.736
Co Cu Sb
2 1 1
Direct
0.997 0.997 0.997
0.503 0.503 0.503
0.250 0.250 0.250
0.750 0.750 0.750
```

Values from the calculation:
Theoretical density: 8.55 Mg/m³
Energy relative to the elements, uncorrected: 45.69 kJ per mole of atoms
Space group: No. 166



Sb2MoPb | GGA-PBE | optimized geometry

POSCAR file:
```
Sb2MoPb
1.0
7.044 0.009 -0.001
4.626 5.313 0.001
-5.413 -3.587 2.731
Mo Pb Sb
1 1 2
Direct
0.750 0.250 0.500
0.250 0.750 0.500
0.930 0.930 0.000
0.570 0.570 0.000
```

Values from the calculation:
Theoretical density: 8.89 Mg/m³
Energy relative to the elements, uncorrected: 37.03 kJ per mole of atoms
Space group: No. 71



TcHS2 | GGA-PBE | optimized geometry

POSCAR file:
```
TcHS2
1.0
-4.941 -5.393 1.056
-2.733 -6.344 2.626
-4.572 -4.441 3.740
H S Tc
1 2 1
Direct
0.500 0.500 0.500
0.897 0.897 0.897
0.103 0.103 0.103
0.000 0.000 0.000
```

Values from the calculation:
Theoretical density: 5.27 Mg/m³
Total DFT energy (no corrections): -4.75 eV per atom
Space group: No. 166